# Li2CrCuO4

Crystalline Li2CrCuO4 at its relaxed geometry (PBEsol, Alexandria).

Properties
* formation energy without anion corrections: -1.59 eV per atom
* density of states at the Fermi level: 0.495 states/eV/atom
* ΔE to the lowest computed polymorph: 45.3 meV per atom
* space group: I-4m2
* E_tot: -52.25 eV/f.u.

The structure in POSCAR format:
```
Li2CrCuO4
1.0
-1.955 1.955 4.365
1.955 -1.955 4.365
1.955 1.955 -4.365
Li Cr Cu O
2 1 1 4
direct
0.000 0.000 0.000 Li
0.750 0.250 0.500 Li
0.500 0.500 0.000 Cr
0.250 0.750 0.500 Cu
0.006 0.506 0.500 O
0.278 0.278 0.000 O
0.494 0.994 0.500 O
0.722 0.722 0.000 O
```

# Li2CrCuO4

Crystalline Li2CrCuO4 at its relaxed geometry (PBEsol, Alexandria).

Properties
* formation energy without anion corrections: -1.63 eV per atom
* density of states at the Fermi level: 0.638 states/eV/atom
* ΔE to the lowest computed polymorph: 8.2 meV per atom
* space group: Imma
* E_tot: -52.55 eV/f.u.

The structure in POSCAR format:
```
Li2CrCuO4
1.0
-2.785 2.812 4.497
2.785 -2.812 4.497
2.785 2.812 -4.497
Li Cr Cu O
4 2 2 8
direct
0.000 0.000 0.000 Li
0.500 0.000 0.000 Li
0.500 0.000 0.500 Li
0.500 0.500 0.500 Li
0.000 0.500 0.500 Cr
0.500 0.500 0.000 Cr
0.000 0.000 0.500 Cu
0.000 0.500 0.000 Cu
0.199 0.715 0.484 O
0.264 0.281 0.517 O
0.264 0.747 0.983 O
0.270 0.285 0.984 O
0.730 0.715 0.016 O
0.736 0.253 0.017 O
0.736 0.719 0.483 O
0.801 0.285 0.516 O
```

# Li5Cr2Cu5O12

Crystalline Li5Cr2Cu5O12 at its relaxed geometry (PBEsol, Alexandria).

Properties
* formation energy without anion corrections: -1.35 eV per atom
* density of states at the Fermi level: 0.426 states/eV/atom
* space group: C2
* E_tot: -147.39 eV/f.u.

The structure in POSCAR format:
```
Li5Cr2Cu5O12
1.0
2.694 -4.204 0.000
2.694 4.204 0.000
-0.563 0.000 9.371
Li Cr Cu O
5 2 5 12
direct
0.000 0.000 0.000 Li
0.074 0.425 0.248 Li
0.249 0.260 0.756 Li
0.575 0.926 0.752 Li
0.740 0.751 0.244 Li
0.158 0.842 0.500 Cr
0.673 0.327 0.000 Cr
0.328 0.672 0.000 Cu
0.399 0.089 0.247 Cu
0.487 0.513 0.500 Cu
0.827 0.173 0.500 Cu
0.911 0.601 0.753 Cu
0.097 0.100 0.370 O
0.215 0.583 0.628 O
0.347 0.015 0.903 O
0.391 0.396 0.120 O
0.417 0.785 0.372 O
0.479 0.166 0.595 O
0.604 0.609 0.880 O
0.704 0.085 0.130 O
0.834 0.521 0.405 O
0.900 0.903 0.630 O
0.915 0.296 0.870 O
0.985 0.653 0.097 O
```

# Li4Cr2Cu3Sb3O16

Crystalline Li4Cr2Cu3Sb3O16 at its relaxed geometry (PBEsol, Alexandria).

Properties
* formation energy without anion corrections: -1.46 eV per atom
* density of states at the Fermi level: 0.432 states/eV/atom
* space group: Cm
* E_tot: -180.00 eV/f.u.

The structure in POSCAR format:
```
Li4Cr2Cu3Sb3O16
1.0
5.309 -2.966 0.000
5.309 2.966 0.000
-0.711 0.000 9.520
Li Cr Cu Sb O
4 2 3 3 16
direct
0.000 0.000 0.000 Li
0.076 0.076 0.547 Li
0.405 0.405 0.450 Li
0.740 0.740 0.937 Li
0.438 0.438 0.015 Cr
0.759 0.759 0.541 Cr
0.260 0.750 0.743 Cu
0.750 0.260 0.743 Cu
0.907 0.907 0.259 Cu
0.259 0.259 0.764 Sb
0.412 0.910 0.258 Sb
0.910 0.412 0.258 Sb
0.035 0.580 0.397 O
0.076 0.076 0.359 O
0.087 0.087 0.836 O
0.121 0.554 0.909 O
0.237 0.237 0.155 O
0.258 0.745 0.136 O
0.414 0.414 0.656 O
0.438 0.930 0.638 O
0.554 0.121 0.909 O
0.557 0.557 0.904 O
0.580 0.035 0.397 O
0.595 0.595 0.384 O
0.738 0.738 0.148 O
0.745 0.258 0.136 O
0.910 0.910 0.621 O
0.930 0.438 0.638 O
```

# Li2V4CrCuO12

Crystalline Li2V4CrCuO12 at its relaxed geometry (PBEsol, Alexandria).

Properties
* formation energy without anion corrections: -2.11 eV per atom
* density of states at the Fermi level: 0.061 states/eV/atom
* space group: C2
* E_tot: -162.31 eV/f.u.

The structure in POSCAR format:
```
Li2V4CrCuO12
1.0
5.256 -4.153 0.000
5.256 4.153 0.000
-2.090 0.000 5.161
Li V Cr Cu O
2 4 1 1 12
direct
0.000 0.000 0.000 Li
0.555 0.445 0.500 Li
0.096 0.346 0.538 V
0.450 0.108 0.980 V
0.654 0.904 0.462 V
0.892 0.550 0.020 V
0.199 0.801 0.500 Cr
0.385 0.615 0.000 Cu
0.079 0.718 0.124 O
0.164 0.080 0.450 O
0.270 0.525 0.576 O
0.282 0.921 0.876 O
0.288 0.337 0.920 O
0.475 0.730 0.424 O
0.563 0.140 0.316 O
0.640 0.047 0.804 O
0.663 0.712 0.080 O
0.860 0.437 0.684 O
0.920 0.836 0.550 O
0.953 0.360 0.196 O
```

# MgCr3Cu

Crystalline MgCr3Cu at its relaxed geometry (PBEsol, Alexandria).

Properties
* density of states at the Fermi level: 0.927 states/eV/atom
* space group: Pm-3m
* E_tot: -30.06 eV/f.u.
* ΔE_f: 1.343 eV per atom

The structure in POSCAR format:
```
MgCr3Cu
1.0
4.615 0.000 0.000
0.000 4.615 0.000
0.000 0.000 4.615
Mg Cr Cu
1 3 1
direct
0.000 0.000 0.000 Mg
0.000 0.500 0.500 Cr
0.500 0.000 0.500 Cr
0.500 0.500 0.000 Cr
0.500 0.500 0.500 Cu
```